A | ! Tm4Hg3Pb PBE optimized geometry; values from VASP
! - Mass density: 12.118 g cm⁻³
&SYSTEM
  ibrav = 0, nat = 8, ntyp = 3
/
ATOMIC_SPECIES
Pb 207.20 Pb.upf
Hg 200.59 Hg.upf
Tm 168.93 Tm.upf
CELL_PARAMETERS angstrom
-3.7261 -0.3872 -3.6240
2.7574 -3.6887 -2.4410
-2.9430 -3.2194 7.1182
ATOMIC_POSITIONS angstrom
Pb -1.8631 -0.1936 -1.8120
Hg -3.6146 -2.8817 0.2760
Hg 1.3787 -1.8444 -1.2205
Hg -0.2972 -4.4137 0.7772
Tm -1.3610 -3.3819 -1.9876
Tm -3.0354 -5.9508 0.0085
Tm -2.5508 -3.9135 3.0407
Tm -0.8763 -1.3446 1.0447

---

B | ! Tm4Hg3Pb PBE optimized geometry; values from VASP
! - Mass density: 11.687 g cm⁻³
&SYSTEM
  ibrav = 0, nat = 8, ntyp = 3
/
ATOMIC_SPECIES
Tm 168.93 Tm.upf
Pb 207.20 Pb.upf
Hg 200.59 Hg.upf
CELL_PARAMETERS angstrom
-1.2657 -0.9176 3.5803
3.9383 -2.4398 0.7669
5.0344 9.4467 4.2010
ATOMIC_POSITIONS angstrom
Tm 0.7555 1.4176 0.6304
Tm 6.2601 6.8319 3.9641
Tm 3.1779 1.7769 3.7103
Tm 2.5852 5.5796 4.4755
Pb 1.7811 -0.8440 2.5448
Hg 4.9392 4.3532 2.8618
Hg 3.9118 8.0689 5.5824
Hg 2.0719 3.8877 1.7289

---

Short version: A, B, most stable first.

---

A | ! Tm4HgPb PBE optimized geometry; values from VASP
! - Mass density: 10.198 g cm⁻³
&SYSTEM
  ibrav = 0, nat = 6, ntyp = 3
/
ATOMIC_SPECIES
Pb 207.20 Pb.upf
Tm 168.93 Tm.upf
Hg 200.59 Hg.upf
CELL_PARAMETERS angstrom
3.5108 0.0000 0.6415
1.7097 5.2018 0.5707
0.0454 0.1988 9.6790
ATOMIC_POSITIONS angstrom
Pb 2.6329 2.7003 5.4456
Tm 3.2413 2.9908 2.1162
Tm 4.6348 5.1118 4.4173
Tm 0.6311 0.2887 6.4739
Tm 2.0246 2.4097 8.7750
Hg 0.0000 0.0000 0.0000

---

B | ! Tm4HgPb PBE optimized geometry; values from VASP
! - Mass density: 10.474 g cm⁻³
&SYSTEM
  ibrav = 0, nat = 12, ntyp = 3
/
ATOMIC_SPECIES
Pb 207.20 Pb.upf
Hg 200.59 Hg.upf
Tm 168.93 Tm.upf
CELL_PARAMETERS angstrom
-2.7817 0.2128 -5.5297
1.6367 -8.1633 1.4293
-5.5015 3.2878 5.0792
ATOMIC_POSITIONS angstrom
Pb -5.2791 -0.4656 0.9034
Pb -1.3674 -4.1971 0.0754
Hg -2.0865 0.1596 -4.1472
Hg -4.5600 -4.8223 5.1260
Tm -2.2731 -5.6758 -3.3828
Tm -4.4361 -2.2740 3.4899
Tm -4.3734 1.0131 4.3616
Tm -2.2104 -2.3887 -2.5111
Tm -3.7171 0.7698 -1.6022
Tm -4.4845 -3.4914 -0.0968
Tm -2.9294 -5.4325 2.5810
Tm -2.1620 -1.1713 1.0756

---

Short version: B, A, most stable first.

---

A | ! Tm2HgPb4 PBE optimized geometry; values from VASP
! - Mass density: 11.141 g cm⁻³
&SYSTEM
  ibrav = 0, nat = 7, ntyp = 3
/
ATOMIC_SPECIES
Hg 200.59 Hg.upf
Tm 168.93 Tm.upf
Pb 207.20 Pb.upf
CELL_PARAMETERS angstrom
5.1250 0.0000 0.0000
0.0000 6.1455 -1.9643
0.0000 0.0586 6.4515
ATOMIC_POSITIONS angstrom
Hg 2.5625 3.1020 2.2436
Tm 0.0000 4.3772 0.4805
Tm 0.0000 1.8269 4.0067
Pb 0.0000 1.2427 0.8988
Pb 2.5625 0.0293 3.2258
Pb 2.5625 3.0727 -0.9822
Pb 0.0000 4.9614 3.5884

---

B | ! Tm2HgPb4 PBE optimized geometry; values from VASP
! - Mass density: 10.872 g cm⁻³
&SYSTEM
  ibrav = 0, nat = 7, ntyp = 3
/
ATOMIC_SPECIES
Hg 200.59 Hg.upf
Tm 168.93 Tm.upf
Pb 207.20 Pb.upf
CELL_PARAMETERS angstrom
3.5263 0.0000 0.0000
0.0000 8.2327 0.3409
-1.7632 -3.7384 7.0383
ATOMIC_POSITIONS angstrom
Hg 0.0000 0.0000 0.0000
Tm 0.0000 -0.4214 3.0916
Tm 1.7632 4.9157 4.2876
Pb 0.0000 2.1892 5.1494
Pb 1.7632 -0.7509 5.9754
Pb 0.0000 5.2452 1.4038
Pb 1.7632 2.3051 2.2298

---

Short version: A, B, most stable first.

---

A | ! Tm4Hg2Pb PBE optimized geometry; values from VASP
! - Mass density: 10.849 g cm⁻³
&SYSTEM
  ibrav = 0, nat = 7, ntyp = 3
/
ATOMIC_SPECIES
Pb 207.20 Pb.upf
Tm 168.93 Tm.upf
Hg 200.59 Hg.upf
CELL_PARAMETERS angstrom
4.8652 0.0000 1.5200
2.1952 4.3418 1.5200
-0.2088 -0.1284 9.2145
ATOMIC_POSITIONS angstrom
Pb 0.0000 0.0000 0.0000
Tm 0.7817 0.4807 6.0443
Tm 6.0699 3.7327 6.2102
Tm 2.5196 1.5495 9.0276
Tm 4.3319 2.6640 3.2268
Hg 5.2013 3.1986 8.9903
Hg 1.6502 1.0148 3.2642

---

B | ! Tm4Hg2Pb PBE optimized geometry; values from VASP
! - Mass density: 10.209 g cm⁻³
&SYSTEM
  ibrav = 0, nat = 7, ntyp = 3
/
ATOMIC_SPECIES
Hg 200.59 Hg.upf
Pb 207.20 Pb.upf
Tm 168.93 Tm.upf
CELL_PARAMETERS angstrom
-4.7894 0.7998 0.6421
-1.8845 0.0843 4.5202
-0.5016 10.1849 2.2546
ATOMIC_POSITIONS angstrom
Hg -4.1186 2.4873 3.5439
Hg -3.0568 8.5816 3.8729
Pb -3.5877 5.5345 3.7084
Tm -1.1013 6.7425 2.0688
Tm -6.0741 4.3265 5.3481
Tm -2.0477 1.3101 1.7756
Tm -5.1277 9.7588 5.6413

---

Short version: A, B, most stable first.

---

A | ! YTmHgPb PBE optimized geometry; values from VASP
! - Mass density: 10.369 g cm⁻³
&SYSTEM
  ibrav = 0, nat = 4, ntyp = 4
/
ATOMIC_SPECIES
Y 88.91 Y.upf
Pb 207.20 Pb.upf
Hg 200.59 Hg.upf
Tm 168.93 Tm.upf
CELL_PARAMETERS angstrom
3.9533 0.0000 0.0000
0.0000 5.2067 0.0000
0.0000 0.0000 5.1788
ATOMIC_POSITIONS angstrom
Y 0.0000 0.0000 0.0000
Pb 1.9767 0.0000 2.5894
Hg 1.9767 2.6034 0.0000
Tm 0.0000 2.6034 2.5894

---

B | ! YTmHgPb PBE optimized geometry; values from VASP
! - Mass density: 10.403 g cm⁻³
&SYSTEM
  ibrav = 0, nat = 4, ntyp = 4
/
ATOMIC_SPECIES
Pb 207.20 Pb.upf
Y 88.91 Y.upf
Hg 200.59 Hg.upf
Tm 168.93 Tm.upf
CELL_PARAMETERS angstrom
5.3163 0.0000 0.0000
2.6582 4.6041 0.0000
2.6582 1.5347 4.3407
ATOMIC_POSITIONS angstrom
Pb 5.3163 3.0694 2.1704
Y 7.9745 4.6041 3.2556
Hg 0.0000 0.0000 0.0000
Tm 2.6582 1.5347 1.0852

---

Short version: A, B, most stable first.

---

A | ! HgPbW2 PBE optimized geometry; values from VASP
! - Mass density: 14.800 g cm⁻³
&SYSTEM
  ibrav = 0, nat = 4, ntyp = 3
/
ATOMIC_SPECIES
W 183.84 W.upf
Hg 200.59 Hg.upf
Pb 207.20 Pb.upf
CELL_PARAMETERS angstrom
3.2421 0.0000 0.0000
0.0000 3.2421 0.0000
0.0000 0.0000 8.2773
ATOMIC_POSITIONS angstrom
W 1.6211 1.6211 1.7171
W 0.0000 0.0000 0.4479
Hg 0.0000 0.0000 3.7646
Pb 1.6211 1.6211 6.4863

---

B | ! HgPbW2 PBE optimized geometry; values from VASP
! - Mass density: 15.071 g cm⁻³
&SYSTEM
  ibrav = 0, nat = 4, ntyp = 3
/
ATOMIC_SPECIES
W 183.84 W.upf
Hg 200.59 Hg.upf
Pb 207.20 Pb.upf
CELL_PARAMETERS angstrom
5.2044 0.0072 -0.0021
4.1215 3.1779 -0.0021
0.7551 0.2579 5.1751
ATOMIC_POSITIONS angstrom
W 0.7516 0.2567 4.7889
W 5.0440 1.7227 2.9717
Hg 7.5608 2.5822 3.8782
Pb 2.5203 0.8607 1.2927

---

C | ! HgPbW2 PBE optimized geometry; values from VASP
! - Mass density: 17.089 g cm⁻³
&SYSTEM
  ibrav = 0, nat = 4, ntyp = 3
/
ATOMIC_SPECIES
Pb 207.20 Pb.upf
W 183.84 W.upf
Hg 200.59 Hg.upf
CELL_PARAMETERS angstrom
3.3209 0.0000 0.0000
0.0000 3.3209 0.0000
0.0000 0.0000 6.8323
ATOMIC_POSITIONS angstrom
Pb 1.6605 1.6605 5.1243
W 0.0000 0.0000 0.0128
W 0.0000 0.0000 3.4034
Hg 1.6605 1.6605 1.7081

---

Short version: A, B, C, most stable first.

---

A | ! HgPbW PBE optimized geometry; values from VASP
! - Mass density: 12.916 g cm⁻³
&SYSTEM
  ibrav = 0, nat = 3, ntyp = 3
/
ATOMIC_SPECIES
Hg 200.59 Hg.upf
W 183.84 W.upf
Pb 207.20 Pb.upf
CELL_PARAMETERS angstrom
-1.6614 -0.5565 4.4214
3.0186 -0.7514 3.5975
0.7141 3.3946 3.2535
ATOMIC_POSITIONS angstrom
Hg 0.0000 0.0000 0.0000
W 1.5535 1.5650 8.4543
Pb 1.0357 1.0433 5.6362

---

B | ! HgPbW PBE optimized geometry; values from VASP
! - Mass density: 13.490 g cm⁻³
&SYSTEM
  ibrav = 0, nat = 3, ntyp = 3
/
ATOMIC_SPECIES
Pb 207.20 Pb.upf
Hg 200.59 Hg.upf
W 183.84 W.upf
CELL_PARAMETERS angstrom
-1.6154 -4.3515 7.7268
1.3333 -4.2963 7.6570
-0.8070 2.2024 1.7890
ATOMIC_POSITIONS angstrom
Pb -0.6473 -1.0988 5.9253
Hg -0.7907 1.8668 2.2096
W -0.4580 -5.0108 10.8268

---

Short version: B, A, most stable first.

---

A | ! HgPbW PBE optimized geometry; values from VASP
! - Mass density: 15.147 g cm⁻³
&SYSTEM
  ibrav = 0, nat = 3, ntyp = 3
/
ATOMIC_SPECIES
Hg 200.59 Hg.upf
Pb 207.20 Pb.upf
W 183.84 W.upf
CELL_PARAMETERS angstrom
5.0051 0.0000 0.0000
-2.5026 4.3346 0.0000
0.0000 0.0000 2.9896
ATOMIC_POSITIONS angstrom
Hg 0.0000 0.0000 2.9891
Pb 0.0000 2.8897 1.4910
W 2.5026 1.4449 1.4991

---

B | ! HgPbW PBE optimized geometry; values from VASP
! - Mass density: 15.244 g cm⁻³
&SYSTEM
  ibrav = 0, nat = 3, ntyp = 3
/
ATOMIC_SPECIES
Pb 207.20 Pb.upf
W 183.84 W.upf
Hg 200.59 Hg.upf
CELL_PARAMETERS angstrom
5.7899 0.0647 0.0000
3.6124 4.5253 0.0000
-4.7012 -2.2950 2.4818
ATOMIC_POSITIONS angstrom
Pb 3.0078 1.4683 0.0000
W 6.2556 3.0538 0.0000
Hg 0.1389 0.0678 0.0000

---

C | ! HgPbW PBE optimized geometry; values from VASP
! - Mass density: 14.146 g cm⁻³
&SYSTEM
  ibrav = 0, nat = 3, ntyp = 3
/
ATOMIC_SPECIES
Pb 207.20 Pb.upf
Hg 200.59 Hg.upf
W 183.84 W.upf
CELL_PARAMETERS angstrom
7.9280 0.0103 0.0000
6.7754 4.1167 0.0000
-7.3517 -2.0635 2.1325
ATOMIC_POSITIONS angstrom
Pb 4.6016 1.2916 0.0000
Hg 0.3907 0.1097 0.0000
W 9.7111 2.7258 0.0000

---

Short version: C, B, A, most stable first.

---

A | ! HgPbW PBE optimized geometry; values from VASP
! - Mass density: 14.877 g cm⁻³
&SYSTEM
  ibrav = 0, nat = 3, ntyp = 3
/
ATOMIC_SPECIES
Pb 207.20 Pb.upf
Hg 200.59 Hg.upf
W 183.84 W.upf
CELL_PARAMETERS angstrom
-0.2787 -5.2005 -2.3422
3.7484 -2.1170 -3.7520
-1.0689 2.2230 5.1503
ATOMIC_POSITIONS angstrom
Pb 1.1377 -2.3995 -1.9984
Hg 0.0874 -0.1844 -0.1535
W 2.2445 -4.7337 -3.9423

---

B | ! HgPbW PBE optimized geometry; values from VASP
! - Mass density: 14.849 g cm⁻³
&SYSTEM
  ibrav = 0, nat = 3, ntyp = 3
/
ATOMIC_SPECIES
Pb 207.20 Pb.upf
W 183.84 W.upf
Hg 200.59 Hg.upf
CELL_PARAMETERS angstrom
3.1227 0.0000 0.0000
-1.5613 2.7043 0.0000
0.0000 0.0000 7.8347
ATOMIC_POSITIONS angstrom
Pb 1.5613 0.9014 2.7810
W 0.0000 1.8029 5.2805
Hg 0.0000 0.0000 7.6080

---

Short version: B, A, most stable first.

---

A | ! HgPb3W PBE optimized geometry; values from VASP
! - Mass density: 10.372 g cm⁻³
&SYSTEM
  ibrav = 0, nat = 5, ntyp = 3
/
ATOMIC_SPECIES
W 183.84 W.upf
Hg 200.59 Hg.upf
Pb 207.20 Pb.upf
CELL_PARAMETERS angstrom
5.4409 0.0000 0.0000
0.0000 5.4409 0.0000
0.0000 0.0000 5.4409
ATOMIC_POSITIONS angstrom
W 0.0000 0.0000 0.0000
Hg 2.7204 2.7204 2.7204
Pb 0.0000 0.0000 2.7204
Pb 2.7204 0.0000 0.0000
Pb 0.0000 2.7204 0.0000

---

B | ! HgPb3W PBE optimized geometry; values from VASP
! - Mass density: 9.346 g cm⁻³
&SYSTEM
  ibrav = 0, nat = 5, ntyp = 3
/
ATOMIC_SPECIES
Pb 207.20 Pb.upf
Hg 200.59 Hg.upf
W 183.84 W.upf
CELL_PARAMETERS angstrom
5.6330 0.0000 0.0000
0.0000 5.6330 0.0000
0.0000 0.0000 5.6330
ATOMIC_POSITIONS angstrom
Pb 2.8165 0.0000 0.0000
Pb 0.0000 2.8165 0.0000
Pb 0.0000 0.0000 2.8165
Hg 0.0000 0.0000 0.0000
W 2.8165 2.8165 2.8165

---

Short version: A, B, most stable first.

---

A | ! YHgPb PBE optimized geometry; values from VASP
! - Mass density: 10.205 g cm⁻³
&SYSTEM
  ibrav = 0, nat = 12, ntyp = 3
/
ATOMIC_SPECIES
Y 88.91 Y.upf
Hg 200.59 Hg.upf
Pb 207.20 Pb.upf
CELL_PARAMETERS angstrom
-2.7731 2.4505 -3.0374
1.6636 -7.0280 -7.1888
-5.2925 -3.3942 2.0935
ATOMIC_POSITIONS angstrom
Y -4.8466 -2.7974 0.2814
Y -1.6754 -3.3183 -3.0341
Y -4.7266 -4.6534 -5.0986
Y -1.5554 -5.1743 -8.4141
Hg -4.1923 -6.9206 -7.4155
Hg -2.2096 -1.0511 -0.7172
Hg -4.3082 -5.0619 -2.0371
Hg -2.0938 -2.9098 -6.0956
Pb -1.8277 -6.2120 -5.2296
Pb -1.9174 -0.1076 -3.9959
Pb -4.4846 -7.8641 -4.1367
Pb -4.5742 -1.7596 -2.9031

---

B | ! YHgPb PBE optimized geometry; values from VASP
! - Mass density: 9.979 g cm⁻³
&SYSTEM
  ibrav = 0, nat = 6, ntyp = 3
/
ATOMIC_SPECIES
Hg 200.59 Hg.upf
Y 88.91 Y.upf
Pb 207.20 Pb.upf
CELL_PARAMETERS angstrom
4.6353 0.0244 0.0000
-0.0247 4.6353 0.0000
0.0000 0.0000 7.6932
ATOMIC_POSITIONS angstrom
Hg 3.8565 3.8976 3.8466
Hg 1.5512 1.5677 3.8466
Y 1.5388 3.8853 1.5769
Y 3.8688 1.5799 6.1163
Pb 1.5391 3.8856 6.1378
Pb 3.8690 1.5802 1.5554

---

Short version: A, B, most stable first.

---

A | ! YHgPb PBE optimized geometry; values from VASP
! - Mass density: 10.168 g cm⁻³
&SYSTEM
  ibrav = 0, nat = 12, ntyp = 3
/
ATOMIC_SPECIES
Y 88.91 Y.upf
Hg 200.59 Hg.upf
Pb 207.20 Pb.upf
CELL_PARAMETERS angstrom
-1.7482 -4.0230 -1.6905
1.7233 0.9027 -3.9303
13.2359 -7.4695 4.0880
ATOMIC_POSITIONS angstrom
Y 8.3501 -5.8121 -1.3435
Y 0.8591 -4.0864 -4.2318
Y 4.8610 -4.7776 -0.1892
Y 12.3520 -6.5034 2.6990
Hg 2.0741 -5.7089 -1.6251
Hg 9.5646 -7.4358 1.2627
Hg 11.1370 -4.8808 0.0923
Hg 3.6465 -3.1539 -2.7954
Pb 8.0696 -4.0866 1.3764
Pb 12.6325 -8.2287 -0.0209
Pb 0.5786 -2.3610 -1.5119
Pb 5.1415 -6.5031 -2.9091

---

B | ! YHgPb PBE optimized geometry; values from VASP
! - Mass density: 10.061 g cm⁻³
&SYSTEM
  ibrav = 0, nat = 3, ntyp = 3
/
ATOMIC_SPECIES
Hg 200.59 Hg.upf
Y 88.91 Y.upf
Pb 207.20 Pb.upf
CELL_PARAMETERS angstrom
6.4603 0.0169 -0.0181
5.3769 3.5837 0.0242
1.0834 0.2920 3.5551
ATOMIC_POSITIONS angstrom
Hg 1.1424 0.3101 3.5356
Y 8.1245 2.4583 1.2314
Pb 4.7372 1.4162 2.3492

---

C | ! YHgPb PBE optimized geometry; values from VASP
! - Mass density: 8.765 g cm⁻³
&SYSTEM
  ibrav = 0, nat = 3, ntyp = 3
/
ATOMIC_SPECIES
Hg 200.59 Hg.upf
Pb 207.20 Pb.upf
Y 88.91 Y.upf
CELL_PARAMETERS angstrom
5.1055 0.0000 0.0000
2.5528 4.4215 0.0000
2.5528 1.4738 4.1686
ATOMIC_POSITIONS angstrom
Hg 0.0000 0.0000 0.0000
Pb 5.1055 2.9477 2.0843
Y 7.6583 4.4215 3.1265

---

D | ! YHgPb PBE optimized geometry; values from VASP
! - Mass density: 10.066 g cm⁻³
&SYSTEM
  ibrav = 0, nat = 3, ntyp = 3
/
ATOMIC_SPECIES
Pb 207.20 Pb.upf
Y 88.91 Y.upf
Hg 200.59 Hg.upf
CELL_PARAMETERS angstrom
-0.6113 3.9426 2.9331
-0.0867 -4.5593 1.9304
3.8128 0.1682 0.5685
ATOMIC_POSITIONS angstrom
Pb 0.6924 1.1585 2.7672
Y 2.4103 -1.6074 2.6630
Hg 0.0122 0.0005 0.0018

---

Short version: A, D, B, C, most stable first.